PaAl2Rh | the Alexandria database | PBE | optimized geometry; space group = Amm2 (38); relative energy among the computed polymorphs = 53 meV/atom; density of states at the Fermi level = 0.63 states/eV/atom; calculated volume = 20.04 Å³ per atom; uncorrected energy = -6.646 eV/atom; calculated formation energy = -562 meV/atom
1.0
4.3472 0.7247 -0.3875
-0.8033 4.1031 -1.3366
0.4047 -0.0919 4.3698
Pa Al Rh
1 2 1
direct
0.5000 0.7506 0.7506
0.0000 0.4304 0.0682
0.0000 0.0682 0.4304
0.5000 0.2508 0.2508